No. 1
## CePrP2Rh5 (GGA-PBE)

Data for a geometry-optimized CePrP2Rh5 structure.

Unit cell a=4.0431 b=4.0431 c=11.0256 alpha=90.00 beta=90.00 gamma=90.00
Last column: nearest neighbours and their distance in Å.
Fractional positions:
Ce 0.0000 0.0000 0.0000  4 Rh 2.86
Pr 0.0000 0.0000 0.5000  8 Rh 3.01
P 0.5000 0.5000 0.2068  5 Rh 2.25-2.28
P 0.5000 0.5000 0.7932  5 Rh 2.25-2.28
Rh 0.0000 0.5000 0.2974  2 P 2.25
Rh 0.0000 0.5000 0.7026  2 P 2.25
Rh 0.5000 0.0000 0.2974  2 P 2.25
Rh 0.5000 0.0000 0.7026  2 P 2.25
Rh 0.5000 0.5000 0.0000  2 P 2.28

- DOS(E_F) (states/eV/atom) = 0.99
- ΔE_f (eV per formula unit) = -6.68

No. 2
## CePrPS (GGA-PBE)

Data for a geometry-optimized CePrPS structure.

Unit cell a=7.1336 b=7.1336 c=7.1336 alpha=33.51 beta=33.51 gamma=33.51
Last column: nearest neighbours and their distance in Å.
Fractional positions:
Ce 0.0000 0.0000 0.0000  3 P 2.86, 3 S 2.90
Pr 0.5028 0.5028 0.5028  3 P 2.92, 3 S 2.95
P 0.2540 0.2540 0.2540  3 Ce 2.86, 3 Pr 2.92
S 0.7490 0.7490 0.7490  3 Ce 2.90, 3 Pr 2.95

- raw formation energy (meV per atom) = -1809.4
- DOS(E_F) (states/eV/atom) = 1.50

No. 3
## CePrSbP (GGA-PBE)

Data for a geometry-optimized CePrSbP structure.

Unit cell a=7.5935 b=7.5935 c=7.5935 alpha=32.90 beta=32.90 gamma=32.90
Last column: nearest neighbours and their distance in Å.
Fractional positions:
Ce 0.0000 0.0000 0.0000  3 P 2.93, 3 Sb 3.14
Pr 0.4838 0.4838 0.4838  3 P 3.00, 3 Sb 3.20
Sb 0.2443 0.2443 0.2443  3 Ce 3.14, 3 Pr 3.20
P 0.7391 0.7391 0.7391  3 Ce 2.93, 3 Pr 3.00

- raw formation energy (meV per atom) = -1290.3
- DOS(E_F) (states/eV/atom) = 1.40

No. 4
## Ce3Pr2SmP6 (GGA-PBE)

Data for a geometry-optimized Ce3Pr2SmP6 structure.

Unit cell a=7.1495 b=7.1495 c=7.1514 alpha=99.59 beta=99.59 gamma=120.01
Last column: nearest neighbours and their distance in Å.
Fractional positions:
Ce 0.0000 0.0000 0.0000  6 P 2.88-2.91
Ce 0.3328 0.6672 0.0000  6 P 2.88-2.90
Ce 0.6672 0.3328 0.0000  6 P 2.88-2.90
Pr 0.1665 0.8335 0.5000  6 P 2.96
Pr 0.8335 0.1665 0.5000  6 P 2.96
Sm 0.5000 0.5000 0.5000  6 P 2.93
P 0.0839 0.4140 0.2419  3 Ce 2.88-2.90, 1 Sm 2.93, 2 Pr 2.96
P 0.2563 0.2563 0.7586  3 Ce 2.88-2.91, 1 Sm 2.93, 2 Pr 2.96
P 0.4140 0.0839 0.2419  3 Ce 2.88-2.90, 1 Sm 2.93, 2 Pr 2.96
P 0.5860 0.9161 0.7581  3 Ce 2.88-2.90, 1 Sm 2.93, 2 Pr 2.96
P 0.7437 0.7437 0.2414  3 Ce 2.88-2.91, 1 Sm 2.93, 2 Pr 2.96
P 0.9161 0.5860 0.7581  3 Ce 2.88-2.90, 1 Sm 2.93, 2 Pr 2.96

- DOS(E_F) (states/eV/atom) = 1.20
- ΔE_f (eV per formula unit) = -18.29

No. 5
## CePr2SmP4 (GGA-PBE)

Data for a geometry-optimized CePr2SmP4 structure.

Unit cell a=7.1780 b=4.1485 c=7.1868 alpha=90.00 beta=109.38 gamma=90.00
Last column: nearest neighbours and their distance in Å.
Fractional positions:
Ce 0.0000 0.0000 0.0000  6 P 2.88-2.89
Pr 0.0000 0.5000 0.5000  6 P 2.95-2.96
Pr 0.5000 0.0000 0.5000  6 P 2.98
Sm 0.5000 0.5000 0.0000  6 P 2.91
P 0.2448 0.5000 0.2409  2 Ce 2.89, 1 Sm 2.91, 3 Pr 2.95-2.98
P 0.2496 0.0000 0.7582  1 Ce 2.88, 2 Sm 2.91, 3 Pr 2.96-2.98
P 0.7504 0.0000 0.2418  1 Ce 2.88, 2 Sm 2.91, 3 Pr 2.96-2.98
P 0.7552 0.5000 0.7591  2 Ce 2.89, 1 Sm 2.91, 3 Pr 2.95-2.98

- DOS(E_F) (states/eV/atom) = 0.67
- ΔE_f (eV per formula unit) = -12.27

No. 6
## Ce3PrSm2P6 (GGA-PBE)

Data for a geometry-optimized Ce3PrSm2P6 structure.

Unit cell a=7.1231 b=7.1231 c=7.1212 alpha=99.60 beta=99.60 gamma=120.01
Last column: nearest neighbours and their distance in Å.
Fractional positions:
Ce 0.0000 0.0000 0.0000  6 P 2.87-2.89
Ce 0.3339 0.6661 0.0000  6 P 2.87-2.89
Ce 0.6661 0.3339 0.0000  6 P 2.87-2.89
Pr 0.5000 0.5000 0.5000  6 P 2.95
Sm 0.1668 0.8332 0.5000  6 P 2.92
Sm 0.8332 0.1668 0.5000  6 P 2.92
P 0.0779 0.4145 0.2437  3 Ce 2.87-2.89, 2 Sm 2.92, 1 Pr 2.95
P 0.2486 0.2486 0.7558  3 Ce 2.87-2.89, 2 Sm 2.92, 1 Pr 2.95
P 0.4145 0.0779 0.2437  3 Ce 2.87-2.89, 2 Sm 2.92, 1 Pr 2.95
P 0.5855 0.9221 0.7563  3 Ce 2.87-2.89, 2 Sm 2.92, 1 Pr 2.95
P 0.7514 0.7514 0.2442  3 Ce 2.87-2.89, 2 Sm 2.92, 1 Pr 2.95
P 0.9221 0.5855 0.7563  3 Ce 2.87-2.89, 2 Sm 2.92, 1 Pr 2.95

- DOS(E_F) (states/eV/atom) = 1.19
- ΔE_f (eV per formula unit) = -18.40

No. 7
## CePr3Sm2P6 (GGA-PBE)

Data for a geometry-optimized CePr3Sm2P6 structure.

Unit cell a=7.1830 b=7.1830 c=7.1919 alpha=99.58 beta=99.58 gamma=119.99
Last column: nearest neighbours and their distance in Å.
Fractional positions:
Ce 0.0000 0.0000 0.0000  6 P 2.88
Pr 0.1674 0.8326 0.5000  6 P 2.95-2.98
Pr 0.5000 0.5000 0.5000  6 P 2.95-2.99
Pr 0.8326 0.1674 0.5000  6 P 2.95-2.98
Sm 0.3336 0.6664 0.0000  6 P 2.91-2.92
Sm 0.6664 0.3336 0.0000  6 P 2.91-2.92
P 0.0806 0.4098 0.2421  1 Ce 2.88, 2 Sm 2.92, 3 Pr 2.95-2.98
P 0.2484 0.2484 0.7582  1 Ce 2.88, 2 Sm 2.91, 3 Pr 2.96-2.99
P 0.4098 0.0806 0.2421  1 Ce 2.88, 2 Sm 2.92, 3 Pr 2.95-2.98
P 0.5902 0.9194 0.7579  1 Ce 2.88, 2 Sm 2.92, 3 Pr 2.95-2.98
P 0.7516 0.7516 0.2418  1 Ce 2.88, 2 Sm 2.91, 3 Pr 2.96-2.99
P 0.9194 0.5902 0.7579  1 Ce 2.88, 2 Sm 2.92, 3 Pr 2.95-2.98

- DOS(E_F) (states/eV/atom) = 0.42
- ΔE_f (eV per formula unit) = -18.50

No. 8
## SrCe2PrP4 (GGA-PBE)

Data for a geometry-optimized SrCe2PrP4 structure.

Unit cell a=7.2484 b=4.1801 c=7.2601 alpha=90.00 beta=109.40 gamma=90.00
Last column: nearest neighbours and their distance in Å.
Fractional positions:
Sr 0.0000 0.0000 0.0000  6 P 3.06-3.07
Ce 0.5000 0.0000 0.5000  6 P 2.85-2.87
Ce 0.5000 0.5000 0.0000  6 P 2.91-2.92
Pr 0.0000 0.5000 0.5000  6 P 3.00-3.01
P 0.2649 0.0000 0.7488  3 Ce 2.87-2.92, 2 Pr 3.00, 1 Sr 3.06
P 0.2730 0.5000 0.2644  3 Ce 2.85-2.91, 1 Pr 3.01, 2 Sr 3.07
P 0.7270 0.5000 0.7356  3 Ce 2.85-2.91, 1 Pr 3.01, 2 Sr 3.07
P 0.7351 0.0000 0.2512  3 Ce 2.87-2.92, 2 Pr 3.00, 1 Sr 3.06

- DOS(E_F) (states/eV/atom) = 0.93
- ΔE_f (eV per formula unit) = -11.15

Repeat the third record exactly.
## CePrSbP (GGA-PBE)

Data for a geometry-optimized CePrSbP structure.

Unit cell a=7.5935 b=7.5935 c=7.5935 alpha=32.90 beta=32.90 gamma=32.90
Last column: nearest neighbours and their distance in Å.
Fractional positions:
Ce 0.0000 0.0000 0.0000  3 P 2.93, 3 Sb 3.14
Pr 0.4838 0.4838 0.4838  3 P 3.00, 3 Sb 3.20
Sb 0.2443 0.2443 0.2443  3 Ce 3.14, 3 Pr 3.20
P 0.7391 0.7391 0.7391  3 Ce 2.93, 3 Pr 3.00

- raw formation energy (meV per atom) = -1290.3
- DOS(E_F) (states/eV/atom) = 1.40